(1)
A plane-wave DFT calculation with PBE-GGA was carried out for a relaxed AlZn2Ge crystal.

```
4
Lattice="-0.6128 -0.0095 -2.8836 2.8772 -0.1995 -0.6108 -0.5067 -7.7140 0.1332" Properties=species:S:1:pos:R:3 pbc="T T T"
Al 1.1322 -0.1045 -1.7472
Zn -0.3844 -5.8531 0.1011
Zn -0.1222 -1.8609 0.0321
Ge 0.8789 -3.9615 -1.6806
```

Output
Calculated formation energy, eV/atom: 0.14
Crystal system: tetragonal
Relative energy among the computed polymorphs, eV/atom: 0.009

=====

(2)
A plane-wave DFT calculation with PBE-GGA was carried out for a relaxed AlZn4Ge crystal.

```
6
Lattice="-3.0743 2.1958 3.5737 -4.3551 -2.4047 1.5147 -0.3155 -2.0470 4.7701" Properties=species:S:1:pos:R:3 pbc="T T T"
Zn -3.3029 -2.5091 4.3743
Al 0.0000 0.0000 0.0000
Zn -4.6835 -0.3858 3.7755
Zn -2.6619 -0.2068 5.4046
Ge -1.9362 -0.5640 2.4646
Zn -4.8414 -1.4102 6.1627
```

Output
Calculated formation energy, eV/atom: 0.14
Crystal system: cubic

=====

(3)
A plane-wave DFT calculation with PBE-GGA was carried out for a relaxed AlZn2Ge crystal.

```
8
Lattice="3.8759 0.0000 0.0000 0.0000 3.8759 0.0000 1.9380 1.9380 9.3852" Properties=species:S:1:pos:R:3 pbc="T T T"
Zn 0.9990 2.9069 2.3463
Zn 2.9069 2.9369 7.0389
Zn 2.8769 0.9690 2.3463
Al 1.9380 3.8759 4.6926
Ge 0.0000 0.0000 0.0000
Zn 4.8449 4.8149 7.0389
Al 1.9380 1.9380 0.0000
Ge 3.8759 1.9380 4.6926
```

Output
Calculated formation energy, eV/atom: 0.14
Crystal system: tetragonal
Relative energy among the computed polymorphs, eV/atom: 0.008

=====

(4)
A plane-wave DFT calculation with PBE-GGA was carried out for a relaxed AlZnGe2 crystal.

```
8
Lattice="6.2860 0.0000 0.0000 0.0000 6.2860 0.0000 3.1430 3.1430 4.6981" Properties=species:S:1:pos:R:3 pbc="T T T"
Zn 6.2860 3.1430 2.3490
Ge 7.8575 7.8799 3.5235
Al 3.1430 3.1430 0.0000
Al 3.1430 6.2860 2.3490
Ge 4.7145 4.6920 3.5235
Zn 0.0000 0.0000 0.0000
Ge 4.7369 1.5715 1.1745
Ge 1.5490 4.7145 1.1745
```

Output
Calculated formation energy, eV/atom: 0.35
Crystal system: tetragonal
Relative energy among the computed polymorphs, eV/atom: 0.155

=====

(5)
A plane-wave DFT calculation with PBE-GGA was carried out for a relaxed AlZn3Ge crystal.

```
5
Lattice="-2.2375 0.0770 4.2987 -3.4216 -2.9662 -1.7278 2.6034 -3.8324 1.4237" Properties=species:S:1:pos:R:3 pbc="T T T"
Zn -1.1188 0.0385 2.1494
Al -1.5279 -3.3608 1.9973
Ge 0.0000 0.0000 0.0000
Zn 1.3017 -1.9162 0.7119
Zn -1.7108 -1.4831 -0.8639
```

Output
Calculated formation energy, eV/atom: 0.56
Crystal system: cubic
Relative energy among the computed polymorphs, eV/atom: 0.000

=====

(6)
A plane-wave DFT calculation with PBE-GGA was carried out for a relaxed AlZn2Ge2 crystal.

```
10
Lattice="-0.2009 -1.8722 6.5253 -6.0791 -2.8558 -1.0065 1.7765 -3.4519 -0.9357" Properties=species:S:1:pos:R:3 pbc="T T T"
Ge -2.2483 -1.2955 0.5106
Ge -0.9458 -1.5725 4.0055
Zn -3.2466 -3.9785 -0.0086
Zn -0.2374 -2.8336 1.4811
Al -3.1400 -2.3640 2.7594
Ge -5.3342 -3.1555 1.5133
Ge -4.0317 -3.4325 5.0082
Al 0.0000 0.0000 0.0000
Zn -1.2569 -4.2015 4.5916
Zn -4.2661 -5.3463 3.1019
```

Output
Calculated formation energy, eV/atom: 0.23
Crystal system: tetragonal
Relative energy among the computed polymorphs, eV/atom: 0.000

=====

Number 1: calculated volume 67 Å³/f.u., E_tot -2.588 eV per atom. Number 2: calculated volume 99 Å³/f.u., E_tot -2.099 eV per atom. Number 3: calculated volume 70 Å³/f.u., E_tot -2.588 eV per atom. Number 4: calculated volume 93 Å³/f.u., E_tot -3.208 eV per atom. Number 5: calculated volume 114 Å³/f.u., E_tot -1.879 eV per atom. Number 6: calculated volume 92 Å³/f.u., E_tot -2.873 eV per atom.